# Tl3Hg7Bi2, optimized geometry, DFT GGA-PBE
data_Tl3Hg7Bi2
_space_group_name_H-M_alt 'P 1'
_space_group_IT_number 1
_cell_length_a 3.379
_cell_length_b 6.032
_cell_length_c 18.568
_cell_angle_alpha 90.73
_cell_angle_beta 104.51
_cell_angle_gamma 89.97
loop_
_space_group_symop_operation_xyz
'x,y,z'
loop_
_atom_site_label
_atom_site_type_symbol
_atom_site_fract_x
_atom_site_fract_y
_atom_site_fract_z
Hg1 Hg 0.278 0.249 0.507
Bi1 Bi 0.582 0.282 0.679
Hg2 Hg 0.722 0.751 0.493
Hg3 Hg 0.179 0.715 0.150
Hg4 Hg 0.339 0.794 0.842
Hg5 Hg 0.661 0.206 0.158
Hg6 Hg 0.821 0.285 0.850
Tl1 Tl 0.500 0.500 0.000
Bi2 Bi 0.418 0.718 0.321
Tl2 Tl 0.933 0.221 0.335
Hg7 Hg 0.000 0.000 0.000
Tl3 Tl 0.067 0.779 0.665
# * spin magnetization: 0.0 μB/cell
# * ΔH_f (0 K): 0.30 eV per formula unit
# * mass density: 11.04 g cm⁻³
# * polymorph energy (0 for the lowest one): 0 meV/atom
# * E: -0.1021 Ry/atom